Entry 1:
Compound: CdP2O6
Source: the Alexandria database
Functional: meta-GGA SCAN
Structure: PBEsol geometry

## Properties
Formation energy from raw total energies, eV per atom: -2.21
Space-group type: No. 19
Volume, Å³ per cell: 472.4

Unit cell a=7.4081 b=7.4893 c=8.5139 alpha=90.00 beta=90.00 gamma=90.00
Element x y z (fractional)
1 Cd 0.0201 0.1413 0.2093
2 Cd 0.4799 0.8587 0.7093
3 Cd 0.5201 0.3587 0.7907
4 Cd 0.9799 0.6413 0.2907
5 P 0.1190 0.5597 0.6597
6 P 0.1562 0.1623 0.5959
7 P 0.3438 0.8377 0.0959
8 P 0.3810 0.4403 0.1597
9 P 0.6190 0.9403 0.3403
10 P 0.6562 0.3377 0.4041
11 P 0.8438 0.6623 0.9041
12 P 0.8810 0.0597 0.8403
13 O 0.0060 0.5591 0.8198
14 O 0.0398 0.6841 0.5407
15 O 0.0836 0.3623 0.5990
16 O 0.1640 0.0999 0.4306
17 O 0.1719 0.8547 0.1896
18 O 0.1849 0.4185 0.2043
19 O 0.3151 0.5815 0.7043
20 O 0.3281 0.1453 0.6896
21 O 0.3360 0.9001 0.9306
22 O 0.4164 0.6377 0.0990
23 O 0.4602 0.3159 0.0407
24 O 0.4940 0.4409 0.3198
25 O 0.5060 0.9409 0.1802
26 O 0.5398 0.8159 0.4593
27 O 0.5836 0.1377 0.4010
28 O 0.6640 0.4001 0.5694
29 O 0.6719 0.6453 0.8104
30 O 0.6849 0.0815 0.7957
31 O 0.8151 0.9185 0.2957
32 O 0.8281 0.3547 0.3104
33 O 0.8360 0.5999 0.0694
34 O 0.9164 0.8623 0.9010
35 O 0.9602 0.1841 0.9593
36 O 0.9940 0.0591 0.6802

***

Entry 2:
Compound: Sr3Ca2
Source: the Alexandria database
Functional: meta-GGA SCAN
Structure: PBEsol geometry

## Properties
Space-group type: No. 166
Calculated formation energy, kcal/mol of atoms: 0.6
Volume, Å³ per cell: 235.5

Unit cell a=16.6559 b=16.6559 c=16.6559 alpha=14.00 beta=14.00 gamma=14.00
Element x y z (fractional)
1 Sr 0.0000 0.0000 0.0000
2 Sr 0.2017 0.2017 0.2017
3 Sr 0.7983 0.7983 0.7983
4 Ca 0.3993 0.3993 0.3993
5 Ca 0.6007 0.6007 0.6007

***

Entry 3:
Compound: ScBeHg2Pb
Source: the Alexandria database
Functional: meta-GGA SCAN
Structure: PBEsol geometry

## Properties
Space-group type: No. 123
Calculated formation energy, kcal/mol of atoms: 16.6
Volume, Å³ per cell: 137.6

Unit cell a=5.3175 b=5.3175 c=4.8657 alpha=90.00 beta=90.00 gamma=90.00
Element x y z (fractional)
1 Sc 0.0000 0.0000 0.0000
2 Be 0.0000 0.0000 0.5000
3 Hg 0.0000 0.5000 0.0000
4 Hg 0.5000 0.0000 0.0000
5 Pb 0.5000 0.5000 0.5000

***

Entry 4:
Compound: K2NaYF6
Source: the Alexandria database
Functional: meta-GGA SCAN
Structure: PBEsol geometry

## Properties
Formation energy from raw total energies, eV per atom: -3.53
Space-group type: No. 225
Volume, Å³ per cell: 166.4

Unit cell a=6.1733 b=6.1733 c=6.1733 alpha=60.00 beta=60.00 gamma=60.00
Element x y z (fractional)
1 K 0.2500 0.2500 0.2500
2 K 0.7500 0.7500 0.7500
3 Na 0.0000 0.0000 0.0000
4 Y 0.5000 0.5000 0.5000
5 F 0.2545 0.2545 0.7455
6 F 0.2545 0.7455 0.2545
7 F 0.2545 0.7455 0.7455
8 F 0.7455 0.2545 0.2545
9 F 0.7455 0.2545 0.7455
10 F 0.7455 0.7455 0.2545

***

Entry 5:
Compound: Sc2AgS
Source: the Alexandria database
Functional: meta-GGA SCAN
Structure: PBEsol geometry

## Properties
Formation energy from raw total energies, eV per atom: -0.46
Space-group type: No. 166
Volume, Å³ per cell: 102.7

Unit cell a=8.2163 b=8.2163 c=8.2163 alpha=27.27 beta=27.27 gamma=27.27
Element x y z (fractional)
1 Sc 0.0976 0.0976 0.0976
2 Sc 0.9024 0.9024 0.9024
3 Ag 0.5000 0.5000 0.5000
4 S 0.0000 0.0000 0.0000

***

Entry 6:
Compound: PRuRh2
Source: the Alexandria database
Functional: meta-GGA SCAN
Structure: PBEsol geometry

## Properties
Space-group type: No. 160
Calculated formation energy, kcal/mol of atoms: -4.0
Volume, Å³ per cell: 52.2

Unit cell a=8.0892 b=8.0892 c=8.0892 alpha=19.63 beta=19.63 gamma=19.63
Element x y z (fractional)
1 P 0.0000 0.0000 0.0000
2 Ru 0.2604 0.2604 0.2604
3 Rh 0.5018 0.5018 0.5018
4 Rh 0.7408 0.7408 0.7408

***

Entry 7:
Compound: LuAg3
Source: the Alexandria database
Functional: meta-GGA SCAN
Structure: PBEsol geometry

## Properties
Space-group type: No. 225
Calculated formation energy, kcal/mol of atoms: -5.2
Volume, Å³ per cell: 74.6

Unit cell a=4.7257 b=4.7257 c=4.7257 alpha=60.00 beta=60.00 gamma=60.00
Element x y z (fractional)
1 Lu 0.0000 0.0000 0.0000
2 Ag 0.2500 0.2500 0.2500
3 Ag 0.5000 0.5000 0.5000
4 Ag 0.7500 0.7500 0.7500

***

Entry 8:
Compound: RbSnSeBr2
Source: the Alexandria database
Functional: meta-GGA SCAN
Structure: PBEsol geometry

## Properties
Formation energy from raw total energies, eV per atom: 0.13
Space-group type: No. 123
Volume, Å³ per cell: 191.5
Energy above the lowest structure with this stoichiometry, meV/atom: 1088.1

Unit cell a=5.8421 b=5.8421 c=5.6100 alpha=90.00 beta=90.00 gamma=90.00
Element x y z (fractional)
1 Rb 0.0000 0.0000 0.0000
2 Sn 0.5000 0.5000 0.5000
3 Se 0.0000 0.0000 0.5000
4 Br 0.0000 0.5000 0.0000
5 Br 0.5000 0.0000 0.0000